Entry 1:
Compound: K3PdF5
Source: the Alexandria database
Functional: PBE
Structure: relaxed

Results
volume: 19.16 Å³ per atom
excess energy over the best structure of this formula in the dataset: 178 meV per atom
uncorrected formation energy: -1820 kJ/mol of formula units

```
K3PdF5
1.0
-4.844 0.288 5.286
-4.671 -3.603 -4.084
7.083 -4.131 1.846
F K Pd
10 6 2
Direct
0.777 0.996 0.273 F
0.500 0.500 0.000 F
0.723 0.223 0.727 F
0.504 0.723 0.727 F
0.496 0.277 0.273 F
0.277 0.777 0.273 F
0.000 0.000 0.000 F
0.223 0.004 0.727 F
0.996 0.496 0.273 F
0.004 0.504 0.727 F
0.673 0.173 0.000 K
0.750 0.750 0.500 K
0.250 0.250 0.500 K
0.327 0.827 0.000 K
0.827 0.673 0.000 K
0.173 0.327 0.000 K
0.250 0.750 0.500 Pd
0.750 0.250 0.500 Pd
```

***

Entry 2:
Compound: TcSbSe2
Source: the Alexandria database
Functional: PBE
Structure: relaxed

Results
volume: 21.19 Å³ per atom
uncorrected formation energy: -19 kJ/mol of formula units

```
TcSbSe2
1.0
3.286 -0.019 0.056
1.668 2.831 0.056
1.084 0.615 9.105
Se Sb Tc
2 1 1
Direct
0.037 0.037 0.938 Se
0.463 0.463 0.562 Se
0.250 0.250 0.250 Sb
0.750 0.750 0.750 Tc
```

***

Entry 3:
Compound: OsBrF3
Source: the Alexandria database
Functional: PBE
Structure: relaxed

Results
volume: 14.79 Å³ per atom
excess energy over the best structure of this formula in the dataset: 761 meV per atom
uncorrected formation energy: -221 kJ/mol of formula units

```
OsBrF3
1.0
4.197 0.000 0.000
0.000 4.197 0.000
0.000 0.000 4.197
F Br Os
3 1 1
Direct
0.500 0.000 0.000 F
0.000 0.500 0.000 F
0.000 0.000 0.500 F
0.500 0.500 0.500 Br
0.000 0.000 0.000 Os
```

***

Entry 4:
Compound: TbSmHf
Source: the Alexandria database
Functional: PBE
Structure: relaxed

Results
volume: 28.64 Å³ per atom
excess energy over the best structure of this formula in the dataset: 0 meV per atom
formation enthalpy at 0 K: 40 kJ/mol of formula units

```
TbSmHf
1.0
-0.967 3.227 0.125
-0.131 -0.169 3.364
7.785 0.623 -1.354
Tb Sm Hf
1 1 1
Direct
0.680 0.680 0.360 Tb
0.989 0.989 0.977 Sm
0.331 0.331 0.663 Hf
```

***

Entry 5:
Compound: Dy7HoEr4
Source: the Alexandria database
Functional: PBE
Structure: relaxed

Results
volume: 32.02 Å³ per atom
excess energy over the best structure of this formula in the dataset: 205 meV per atom
formation enthalpy at 0 K: 341 kJ/mol of formula units

```
Dy7HoEr4
1.0
5.825 0.000 0.000
2.912 11.066 -0.345
2.912 0.185 5.956
Dy Er Ho
7 4 1
Direct
0.061 0.679 0.198 Dy
0.212 0.076 0.500 Dy
0.500 0.000 0.000 Dy
0.939 0.321 0.802 Dy
0.788 0.924 0.500 Dy
0.633 0.499 0.234 Dy
0.367 0.501 0.766 Dy
0.363 0.775 0.500 Er
0.245 0.318 0.192 Er
0.637 0.225 0.500 Er
0.755 0.682 0.808 Er
0.000 0.000 0.000 Ho
```

***

Entry 6:
Compound: K2HgTe
Source: the Alexandria database
Functional: PBE
Structure: relaxed

Results
volume: 36.76 Å³ per atom
excess energy over the best structure of this formula in the dataset: 109 meV per atom
uncorrected formation energy: -257 kJ/mol of formula units

```
K2HgTe
1.0
6.656 0.122 0.080
4.877 4.531 0.080
1.846 0.745 4.999
K Te Hg
2 1 1
Direct
0.987 0.987 0.022 K
0.767 0.767 0.725 K
0.519 0.519 0.492 Te
0.227 0.227 0.261 Hg
```

***

Entry 7:
Compound: CsIn5Pb7
Source: the Alexandria database
Functional: PBE
Structure: relaxed

Results
volume: 32.36 Å³ per atom
formation enthalpy at 0 K: -28 kJ/mol of formula units

```
CsIn5Pb7
1.0
1.689 -0.019 8.583
5.882 6.009 -2.412
-8.701 -0.629 0.648
In Pb Cs
5 7 1
Direct
0.997 0.496 0.002 In
0.505 0.004 0.002 In
0.997 0.996 0.501 In
0.776 0.500 0.276 In
0.505 0.504 0.501 In
0.224 0.500 0.724 Pb
0.222 0.722 0.500 Pb
0.778 0.278 0.500 Pb
0.640 0.642 0.998 Pb
0.358 0.000 0.358 Pb
0.640 0.000 0.640 Pb
0.357 0.358 0.998 Pb
0.999 0.000 0.999 Cs
```

***

Entry 8:
Compound: NbSiN2
Source: the Alexandria database
Functional: PBE
Structure: relaxed

Results
volume: 11.37 Å³ per atom
uncorrected formation energy: -203 kJ/mol of formula units

```
NbSiN2
1.0
4.683 0.000 0.000
0.000 4.683 0.000
2.342 2.342 4.147
N Si Nb
4 2 2
Direct
0.375 0.452 0.750 N
0.548 0.125 0.250 N
0.875 0.798 0.750 N
0.202 0.625 0.250 N
0.250 0.750 0.500 Si
0.500 0.500 0.000 Si
0.000 0.000 0.000 Nb
0.750 0.250 0.500 Nb
```